No. 1
BaTiNF2 after structural relaxation. Source: the Alexandria database, functional PBEsol.

Structure (POSCAR):
```
BaTiNF2
1.0
4.006 0.000 0.000
0.000 4.207 0.000
0.000 0.000 4.207
N F Ba Ti
1 2 1 1
Direct
0.500 0.000 0.000
0.000 0.000 0.500
0.000 0.500 0.000
0.500 0.500 0.500
0.000 0.000 0.000
```

Output
The magnetic moment comes out at 1.00 μB per formula unit. The value obtained for the density of states at the Fermi level is 1.6 states/eV/cell. The crystal system is tetragonal. Its formation energy (no corrections) is -1164 kJ/mol of formula units.

No. 2
BaTiNF2 after structural relaxation. Source: the Alexandria database, functional PBEsol.

Structure (POSCAR):
```
BaTiNF2
1.0
4.765 0.000 0.000
0.000 4.765 0.000
0.000 0.000 4.891
N F Ba Ti
1 2 1 1
Direct
0.000 0.000 0.500
0.000 0.500 0.000
0.500 0.000 0.000
0.000 0.000 0.000
0.500 0.500 0.500
```

Output
The magnetic moment comes out at 1.91 μB per formula unit. The value obtained for the density of states at the Fermi level is 4.4 states/eV/cell. The crystal system is tetragonal. Its formation energy (no corrections) is -246 kJ/mol of formula units.

No. 3
BaTlN2F after structural relaxation. Source: the Alexandria database, functional PBEsol.

Structure (POSCAR):
```
BaTlN2F
1.0
4.236 0.000 0.000
0.000 4.236 0.000
0.000 0.000 4.765
Tl N Ba F
1 2 1 1
Direct
0.000 0.000 0.000
0.000 0.500 0.000
0.500 0.000 0.000
0.500 0.500 0.500
0.000 0.000 0.500
```

Output
The magnetic moment comes out at 1.06 μB per formula unit. The value obtained for the density of states at the Fermi level is 3.2 states/eV/cell. The crystal system is tetragonal. Its formation energy (no corrections) is -93 kJ/mol of formula units.

No. 4
BaTlN2F after structural relaxation. Source: the Alexandria database, functional PBEsol.

Structure (POSCAR):
```
BaTlN2F
1.0
4.883 0.000 0.000
0.000 5.223 0.000
0.000 0.000 5.223
Tl N Ba F
1 2 1 1
Direct
0.500 0.500 0.500
0.000 0.000 0.500
0.000 0.500 0.000
0.000 0.000 0.000
0.500 0.000 0.000
```

Output
The magnetic moment comes out at 4.00 μB per formula unit. The value obtained for the density of states at the Fermi level is 2.3 states/eV/cell. The crystal system is tetragonal. Its formation energy (no corrections) is 206 kJ/mol of formula units.

No. 5
Ba4Na3Nd3P6O24F2 after structural relaxation. Source: the Alexandria database, functional PBEsol.

Structure (POSCAR):
```
Ba4Na3Nd3P6O24F2
1.0
-4.012 -0.113 8.828
-4.519 -4.438 -7.390
7.091 -12.173 2.951
Ba Na Nd P O F
8 6 6 12 48 4
Direct
0.233 0.261 0.360
0.767 0.981 0.870
0.019 0.775 0.372
0.024 0.762 0.867
0.240 0.019 0.121
0.262 0.023 0.626
0.749 0.730 0.138
0.779 0.760 0.625
0.332 0.673 0.261
0.335 0.660 0.761
0.982 0.277 0.137
0.004 0.265 0.650
0.667 0.317 0.236
0.669 0.334 0.734
0.233 0.232 0.864
0.334 0.670 0.013
0.326 0.656 0.514
0.772 0.001 0.369
0.663 0.329 0.486
0.675 0.335 0.989
0.368 0.399 0.108
0.379 0.408 0.625
0.027 0.621 0.123
0.029 0.615 0.619
0.592 0.971 0.126
0.596 0.974 0.613
0.412 0.025 0.375
0.423 0.039 0.880
0.959 0.371 0.381
0.982 0.387 0.886
0.604 0.584 0.381
0.615 0.587 0.878
0.237 0.286 0.173
0.273 0.318 0.709
0.295 0.388 0.009
0.270 0.369 0.538
0.438 0.575 0.138
0.462 0.589 0.639
0.457 0.603 0.392
0.500 0.653 0.891
0.136 0.491 0.394
0.149 0.535 0.893
0.132 0.547 0.146
0.130 0.537 0.644
0.631 0.895 0.041
0.620 0.904 0.519
0.673 0.946 0.213
0.714 0.978 0.686
0.419 0.860 0.639
0.409 0.872 0.135
0.101 0.721 0.033
0.108 0.716 0.530
0.349 0.847 0.391
0.364 0.862 0.895
0.033 0.739 0.197
0.041 0.737 0.692
0.940 0.255 0.301
0.000 0.269 0.821
0.648 0.147 0.111
0.616 0.141 0.603
0.883 0.260 0.467
0.913 0.299 0.979
0.595 0.116 0.362
0.602 0.133 0.861
0.322 0.047 0.293
0.323 0.058 0.801
0.382 0.108 0.460
0.394 0.121 0.965
0.862 0.455 0.363
0.864 0.440 0.852
0.850 0.496 0.110
0.852 0.494 0.604
0.504 0.358 0.106
0.501 0.350 0.612
0.553 0.417 0.342
0.525 0.406 0.859
0.692 0.594 0.474
0.720 0.611 0.966
0.723 0.723 0.320
0.730 0.682 0.799
0.983 0.000 0.283
0.028 0.012 0.769
0.954 0.972 0.474
0.049 0.024 0.961
```

Output
The magnetic moment comes out at 0.00 μB per formula unit. The value obtained for the density of states at the Fermi level is 0.0 states/eV/cell. The crystal system is triclinic. Its formation energy (no corrections) is -11740 kJ/mol of formula units.

No. 6
BaNaZr2F11 after structural relaxation. Source: the Alexandria database, functional PBEsol.

Structure (POSCAR):
```
BaNaZr2F11
1.0
8.213 0.000 0.000
0.000 8.213 0.000
-4.107 -4.107 11.785
Ba Na Zr F
4 4 8 44
Direct
0.837 0.337 0.675
0.413 0.413 0.825
0.587 0.587 0.175
0.663 0.163 0.325
0.115 0.115 0.230
0.365 0.865 0.730
0.135 0.635 0.270
0.885 0.885 0.770
0.285 0.861 0.001
0.534 0.611 0.499
0.139 0.284 0.999
0.861 0.715 0.999
0.965 0.889 0.499
0.111 0.466 0.501
0.389 0.035 0.501
0.716 0.139 0.001
0.876 0.160 0.898
0.466 0.892 0.157
0.784 0.858 0.343
0.939 0.009 0.653
0.714 0.644 0.653
0.119 0.845 0.099
0.356 0.061 0.347
0.142 0.441 0.657
0.271 0.496 0.401
0.504 0.869 0.599
0.987 0.626 0.398
0.940 0.132 0.498
0.228 0.013 0.602
0.108 0.309 0.843
0.095 0.729 0.599
0.894 0.689 0.153
0.868 0.442 0.502
0.979 0.254 0.099
0.310 0.618 0.002
0.999 0.499 0.998
0.259 0.464 0.153
0.515 0.216 0.657
0.692 0.384 0.002
0.634 0.060 0.502
0.311 0.741 0.847
0.616 0.690 0.998
0.022 0.737 0.898
0.131 0.905 0.401
0.155 0.021 0.901
0.749 0.749 0.498
0.251 0.251 0.502
0.735 0.534 0.843
0.840 0.978 0.102
0.558 0.366 0.498
0.263 0.124 0.102
0.501 0.001 0.002
0.382 0.308 0.998
0.559 0.485 0.343
0.374 0.590 0.602
0.536 0.106 0.847
0.691 0.265 0.157
0.410 0.772 0.398
0.991 0.286 0.347
0.746 0.881 0.901
```

Output
The magnetic moment comes out at 0.00 μB per formula unit. The value obtained for the density of states at the Fermi level is 0.0 states/eV/cell. The crystal system is tetragonal. Its formation energy (no corrections) is -5387 kJ/mol of formula units.

formation energy (no corrections) of number 3 (BaTlN2F)?
-93 kJ/mol of formula units

Please write out number 1 again, unchanged.
BaTiNF2 after structural relaxation. Source: the Alexandria database, functional PBEsol.

Structure (POSCAR):
```
BaTiNF2
1.0
4.006 0.000 0.000
0.000 4.207 0.000
0.000 0.000 4.207
N F Ba Ti
1 2 1 1
Direct
0.500 0.000 0.000
0.000 0.000 0.500
0.000 0.500 0.000
0.500 0.500 0.500
0.000 0.000 0.000
```

Output
The magnetic moment comes out at 1.00 μB per formula unit. The value obtained for the density of states at the Fermi level is 1.6 states/eV/cell. The crystal system is tetragonal. Its formation energy (no corrections) is -1164 kJ/mol of formula units.

Which value of formation energy (no corrections) does entry 2 give?
-246 kJ/mol of formula units

Look up the magnetic moment of the fifth one.
0.00 μB per formula unit